Entry 1:
Below is a relaxed structure of PmNd4Th2, with properties calculated at the PBE-GGA level.

## Properties
ΔH_f (0 K) = 0.0361 eV per atom
DFT total energy = -5.4870 eV per atom
Space-group type = No. 166

Cell lengths 20.889, 20.889, 20.889 Å; angles 10.04, 10.04, 10.04 degrees
Fractional positions:
Pm 0.000 0.000 0.000
Nd 0.096 0.096 0.096
Nd 0.381 0.381 0.381
Nd 0.619 0.619 0.619
Nd 0.904 0.904 0.904
Th 0.190 0.190 0.190
Th 0.810 0.810 0.810

***

Entry 2:
Below is a relaxed structure of Pm4Nd6Th, with properties calculated at the PBE-GGA level.

## Properties
ΔH_f (0 K) = 0.1337 eV per atom
DFT total energy = -4.8690 eV per atom
Space-group type = No. 63

Cell lengths 5.731, 5.731, 26.091 Å; angles 90.00, 90.00, 117.02 degrees
Fractional positions:
Pm 0.056 0.944 0.623
Pm 0.056 0.944 0.877
Pm 0.353 0.647 0.543
Pm 0.353 0.647 0.957
Pm 0.647 0.353 0.043
Pm 0.647 0.353 0.457
Pm 0.944 0.056 0.123
Pm 0.944 0.056 0.377
Nd 0.000 0.000 0.000
Nd 0.000 0.000 0.500
Nd 0.063 0.937 0.750
Nd 0.294 0.706 0.102
Nd 0.294 0.706 0.398
Nd 0.390 0.610 0.683
Nd 0.390 0.610 0.817
Nd 0.610 0.390 0.183
Nd 0.610 0.390 0.317
Nd 0.706 0.294 0.602
Nd 0.706 0.294 0.898
Nd 0.937 0.063 0.250
Th 0.278 0.722 0.250
Th 0.722 0.278 0.750

***

Entry 3:
Below is a relaxed structure of Pm2Nd6Th, with properties calculated at the PBE-GGA level.

## Properties
ΔH_f (0 K) = 0.0681 eV per atom
DFT total energy = -4.9905 eV per atom
Space-group type = No. 187

Cell lengths 3.653, 3.653, 27.380 Å; angles 90.00, 90.00, 120.00 degrees
Fractional positions:
Pm 0.000 0.000 0.170
Pm 0.000 0.000 0.830
Nd 0.000 0.000 0.392
Nd 0.000 0.000 0.608
Nd 0.667 0.333 0.064
Nd 0.667 0.333 0.281
Nd 0.667 0.333 0.719
Nd 0.667 0.333 0.936
Th 0.667 0.333 0.500